Compound: CaTa3H
Source: Alexandria via LeMat-Bulk
Functional: PBE-GGA
Structure: relaxed

Cell lengths 4.3756, 4.3756, 4.3756 Å; angles 90.00, 90.00, 90.00 degrees
Space group Pm-3m (No. 221)
Symmetry-distinct sites (fractional):
Ca 0.0000 0.0000 0.0000 (multiplicity 1)
Ta 0.0000 0.5000 0.5000 (multiplicity 3)
H 0.5000 0.5000 0.5000 (multiplicity 1)

## Properties
As for the density of states at the Fermi level: 1.091 states/eV per atom. Its energy above the lowest structure with this stoichiometry is 0.0 kJ/mol of atoms. The value obtained for the total energy is -7.6160 eV per atom.

Compound: Ca2TaH
Source: Alexandria via LeMat-Bulk
Functional: PBE-GGA
Structure: relaxed

Cell lengths 7.4318, 7.4318, 7.4318 Å; angles 90.00, 90.00, 90.00 degrees
Space group Fm-3m (No. 225)
Symmetry-distinct sites (fractional):
Ca 0.2500 0.2500 0.2500 (multiplicity 8)
Ta 0.0000 0.0000 0.0000 (multiplicity 4)
H 0.0000 0.0000 0.5000 (multiplicity 4)

## Properties
As for the density of states at the Fermi level: 0.565 states/eV per atom. Its energy above the lowest structure with this stoichiometry is 48.0 kJ/mol of atoms. The value obtained for the total energy is -3.5929 eV per atom.

Compound: Ca2TbH
Source: Alexandria via LeMat-Bulk
Functional: PBE-GGA
Structure: relaxed

Cell lengths 3.5687, 3.5687, 29.8380 Å; angles 90.00, 90.00, 120.00 degrees
Space group R-3m (No. 166, hexagonal axes)
Symmetry-distinct sites (fractional):
Ca 0.0000 0.0000 0.1170 (multiplicity 6)
Tb 0.0000 0.0000 0.0000 (multiplicity 3)
H 0.0000 0.0000 0.5000 (multiplicity 3)

## Properties
As for the density of states at the Fermi level: 1.059 states/eV per atom. The value obtained for the total energy is -2.9203 eV per atom.